No. 1
Ba2IrOsO6 | GGA-PBE | relaxed

Cell: 5.8384 5.8384 10.2654 Å, 73.48 73.48 60.00°
Last column: magnetic moment on the atom in μB.
Fractional coordinates of all 20 atoms:
1 Ba 0.8753 0.8753 0.3742  0.00
2 Ba 0.1247 0.1247 0.6258  0.00
3 Ba 0.7122 0.7122 0.8635  0.01
4 Ba 0.2878 0.2878 0.1365  0.01
5 Ir 0.5886 0.5886 0.2341  0.12
6 Ir 0.4114 0.4114 0.7659  0.12
7 Os 0.0000 0.0000 0.0000  1.57
8 Os 0.5000 0.5000 0.5000  0.57
9 O 0.8585 0.3871 0.3673  0.05
10 O 0.3871 0.8585 0.3673  0.05
11 O 0.3871 0.3871 0.3673  0.05
12 O 0.1415 0.6129 0.6327  0.05
13 O 0.6129 0.1415 0.6327  0.05
14 O 0.6129 0.6129 0.6327  0.05
15 O 0.7178 0.2005 0.8812  0.11
16 O 0.2005 0.7178 0.8812  0.11
17 O 0.2005 0.2005 0.8812  0.11
18 O 0.2822 0.7995 0.1188  0.11
19 O 0.7995 0.2822 0.1188  0.11
20 O 0.7995 0.7995 0.1188  0.11

- uncorrected formation energy (eV per atom) = -1.621

No. 2
ZrAl2F | GGA-PBE | relaxed

Cell: 4.6840 4.6840 4.6840 Å, 60.00 60.00 60.00°
Fractional coordinates of all 4 atoms:
1 Al 0.2500 0.2500 0.2500
2 Al 0.7500 0.7500 0.7500
3 Zr 0.5000 0.5000 0.5000
4 F 0.0000 0.0000 0.0000

- uncorrected formation energy (eV per atom) = -0.229

No. 3
ScPa3Ga12 | GGA-PBE | relaxed

Cell: 4.2709 4.2709 16.9309 Å, 90.00 90.00 90.00°
Fractional coordinates of all 16 atoms:
1 Sc 0.0000 0.0000 0.0000
2 Pa 0.0000 0.0000 0.2442
3 Pa 0.0000 0.0000 0.5000
4 Pa 0.0000 0.0000 0.7558
5 Ga 0.5000 0.5000 0.0000
6 Ga 0.5000 0.5000 0.2483
7 Ga 0.5000 0.5000 0.5000
8 Ga 0.5000 0.5000 0.7517
9 Ga 0.5000 0.0000 0.1174
10 Ga 0.5000 0.0000 0.3723
11 Ga 0.5000 0.0000 0.6277
12 Ga 0.5000 0.0000 0.8826
13 Ga 0.0000 0.5000 0.1174
14 Ga 0.0000 0.5000 0.3723
15 Ga 0.0000 0.5000 0.6277
16 Ga 0.0000 0.5000 0.8826

- calculated formation energy (eV per atom) = -0.4085

No. 4
Pu6Bi5H | GGA-PBE | relaxed

Cell: 6.0295 8.3723 9.3152 Å, 63.30 74.52 53.56°
Last column: magnetic moment on the atom in μB.
Fractional coordinates of all 12 atoms:
1 Pu 0.7499 0.0841 0.3268  5.58
2 Pu 0.2501 0.5891 0.3268  5.58
3 Pu 0.1485 0.1986 0.0000  5.51
4 Pu 0.8515 0.8014 0.0000  5.51
5 Pu 0.7499 0.4109 0.6732  5.58
6 Pu 0.2501 0.9159 0.6732  5.58
7 Bi 0.5000 0.1647 0.6707  -0.13
8 Bi 0.0000 0.3388 0.3225  -0.17
9 Bi 0.5000 0.5000 0.0000  -0.26
10 Bi 0.0000 0.6612 0.6775  -0.17
11 Bi 0.5000 0.8353 0.3293  -0.13
12 H 0.0000 0.0000 0.0000  -0.04

- electronic total energy (Ha/atom) = -0.341

No. 5
CrTcRh | GGA-PBE | relaxed

Cell: 2.6824 2.6824 6.5579 Å, 90.00 90.00 120.00°
Last column: magnetic moment on the atom in μB.
Fractional coordinates of all 3 atoms:
1 Cr 0.0000 0.0000 0.0018  0.44
2 Rh 0.3333 0.6667 0.3202  0.06
3 Tc 0.6667 0.3333 0.6781  0.00

- polymorph energy (0 for the lowest one) (eV/f.u.) = 0.13
- calculated formation energy (eV per atom) = 0.0841

No. 6
La7ErTm3 | GGA-PBE | relaxed

Cell: 9.9693 10.0193 14.0835 Å, 66.03 124.30 138.50°
Fractional coordinates of all 22 atoms:
1 La 0.0026 0.7316 0.2577
2 La 0.9631 0.8084 0.7786
3 La 0.0567 0.4172 0.4401
4 La 0.0550 0.4363 0.9435
5 La 0.5686 0.9136 0.9781
6 La 0.6356 0.9261 0.5424
7 La 0.4040 0.3601 0.7497
8 La 0.5960 0.6399 0.2503
9 La 0.4310 0.0864 0.0217
10 La 0.3644 0.0739 0.4575
11 La 0.9450 0.5638 0.0566
12 La 0.9434 0.5827 0.5600
13 La 0.0367 0.1917 0.2213
14 La 0.9977 0.2683 0.7424
15 Er 0.5000 0.5000 0.0000
16 Er 0.5000 0.5000 0.5000
17 Tm 0.4901 0.7643 0.7532
18 Tm 0.0000 0.0001 0.0001
19 Tm 0.0000 0.9999 0.5000
20 Tm 0.4827 0.8546 0.2808
21 Tm 0.5173 0.1454 0.7192
22 Tm 0.5100 0.2356 0.2468

- polymorph energy (0 for the lowest one) (eV/f.u.) = 0.00
- calculated formation energy (eV per atom) = 0.1358

No. 7
Tb6Nd2Tm3Tl | GGA-PBE | relaxed

Cell: 6.1022 6.1022 11.7328 Å, 94.98 94.98 120.03°
Fractional coordinates of all 12 atoms:
1 Tb 0.9159 0.5880 0.7474
2 Tb 0.7564 0.7564 0.2535
3 Tb 0.0841 0.4120 0.2526
4 Tb 0.5880 0.9159 0.7474
5 Tb 0.2436 0.2436 0.7465
6 Tb 0.4120 0.0841 0.2526
7 Nd 0.3338 0.6662 0.0000
8 Nd 0.6662 0.3338 0.0000
9 Tm 0.1667 0.8333 0.5000
10 Tm 0.8333 0.1667 0.5000
11 Tm 0.5000 0.5000 0.5000
12 Tl 0.0000 0.0000 0.0000

- calculated formation energy (eV per atom) = -0.0277

No. 8
KNa2CrBr6 | GGA-PBE | relaxed

Cell: 7.3931 7.3935 7.9058 Å, 62.12 62.11 59.98°
Last column: magnetic moment on the atom in μB.
Fractional coordinates of all 10 atoms:
1 K 0.8134 0.8136 0.5594  0.00
2 Na 0.5239 0.5237 0.4288  0.00
3 Na 0.0065 0.0065 0.9807  0.00
4 Cr 0.3290 0.3290 0.0128  2.94
5 Br 0.5478 0.2487 0.2286  -0.02
6 Br 0.2486 0.9748 0.2287  -0.02
7 Br 0.9747 0.5481 0.2285  -0.02
8 Br 0.3849 0.6891 0.7826  -0.03
9 Br 0.6893 0.1432 0.7826  -0.03
10 Br 0.1434 0.3849 0.7825  -0.03

- uncorrected formation energy (eV per atom) = -1.244